1.
Computed, not measured: a crystal of YSi2Mo2 relaxed with PBEsol at the meta-GGA SCAN level of DFT.

Properties
- crystal system = tetragonal
- formation energy without anion corrections (eV per formula unit) = -0.709
- space-group type = I4/mmm

a b c (Å): 4.5383 4.5383 8.8001
angles (deg): 90.00 90.00 90.00
With the nearest neighbours (Å) after each atom.
Element x y z (fractional)
Y (0.0000, 0.0000, 0.0000)  8 Si 3.16, 10 Mo 3.28-3.40
Y (0.5000, 0.5000, 0.5000)  8 Si 3.16, 10 Mo 3.28-3.40
Si (0.0000, 0.5000, 0.2500)  4 Mo 2.51
Si (0.0000, 0.5000, 0.7500)  4 Mo 2.51
Si (0.5000, 0.0000, 0.2500)  4 Mo 2.51
Si (0.5000, 0.0000, 0.7500)  4 Mo 2.51
Mo (0.0000, 0.0000, 0.3726)  1 Mo 2.24
Mo (0.0000, 0.0000, 0.6274)  1 Mo 2.24
Mo (0.5000, 0.5000, 0.1274)  1 Mo 2.24
Mo (0.5000, 0.5000, 0.8726)  1 Mo 2.24

---

2.
Computed, not measured: a crystal of AlNi3 relaxed with PBEsol at the meta-GGA SCAN level of DFT.

Properties
- crystal system = hexagonal
- ΔE_f (eV per formula unit) = -1.9
- space-group type = P6_3/mmc

a b c (Å): 5.0000 5.0000 4.0232
angles (deg): 90.00 90.00 120.00
With the nearest neighbours (Å) after each atom.
Element x y z (fractional)
Al (0.3333, 0.6667, 0.2500)  12 Ni 2.49-2.50
Al (0.6667, 0.3333, 0.7500)  12 Ni 2.49-2.50
Ni (0.1644, 0.3287, 0.7500)  8 Ni 2.46-2.53, 4 Al 2.49-2.50
Ni (0.1644, 0.8356, 0.7500)  8 Ni 2.46-2.53, 4 Al 2.49-2.50
Ni (0.3287, 0.1644, 0.2500)  8 Ni 2.46-2.53, 4 Al 2.49-2.50
Ni (0.6713, 0.8356, 0.7500)  8 Ni 2.46-2.53, 4 Al 2.49-2.50
Ni (0.8356, 0.1644, 0.2500)  8 Ni 2.46-2.53, 4 Al 2.49-2.50
Ni (0.8356, 0.6713, 0.2500)  8 Ni 2.46-2.53, 4 Al 2.49-2.50

---

3.
Computed, not measured: a crystal of Li3TaO4 relaxed with PBEsol at the meta-GGA SCAN level of DFT.

Properties
- crystal system = tetragonal
- relative energy among the computed polymorphs (eV per formula unit) = 0.50
- formation energy without anion corrections (eV per formula unit) = -21.213
- space-group type = I4/mmm

a b c (Å): 4.0852 4.0852 8.4642
angles (deg): 90.00 90.00 90.00
With the nearest neighbours (Å) after each atom.
Element x y z (fractional)
Li (0.0000, 0.0000, 0.0000)  4 O 2.04
Li (0.0000, 0.5000, 0.2500)  6 O 2.05-2.12
Li (0.0000, 0.5000, 0.7500)  6 O 2.05-2.12
Li (0.5000, 0.0000, 0.2500)  6 O 2.05-2.12
Li (0.5000, 0.0000, 0.7500)  6 O 2.05-2.12
Li (0.5000, 0.5000, 0.5000)  4 O 2.04
Ta (0.0000, 0.0000, 0.5000)  6 O 1.93-2.04
Ta (0.5000, 0.5000, 0.0000)  6 O 1.93-2.04
O (0.0000, 0.0000, 0.2725)  1 Ta 1.93, 4 Li 2.05
O (0.0000, 0.0000, 0.7275)  1 Ta 1.93, 4 Li 2.05
O (0.0000, 0.5000, 0.0000)  2 Ta 2.04, 4 Li 2.04-2.12
O (0.0000, 0.5000, 0.5000)  2 Ta 2.04, 4 Li 2.04-2.12
O (0.5000, 0.0000, 0.0000)  2 Ta 2.04, 4 Li 2.04-2.12
O (0.5000, 0.0000, 0.5000)  2 Ta 2.04, 4 Li 2.04-2.12
O (0.5000, 0.5000, 0.2275)  1 Ta 1.93, 4 Li 2.05
O (0.5000, 0.5000, 0.7725)  1 Ta 1.93, 4 Li 2.05

---

4.
Computed, not measured: a crystal of Zr2AlGeRu relaxed with PBEsol at the meta-GGA SCAN level of DFT.

Properties
- crystal system = tetragonal
- ΔE_f (eV per formula unit) = 0.2
- space-group type = P4/mmm

a b c (Å): 4.8813 4.8813 4.6064
angles (deg): 90.00 90.00 90.00
With the nearest neighbours (Å) after each atom.
Element x y z (fractional)
Zr (0.0000, 0.5000, 0.0000)  2 Ru 2.44
Zr (0.5000, 0.0000, 0.0000)  2 Ru 2.44
Al (0.0000, 0.0000, 0.5000)  2 Ru 2.30
Ge (0.5000, 0.5000, 0.5000)  8 Zr 3.36, 4 Al 3.45
Ru (0.0000, 0.0000, 0.0000)  2 Al 2.30, 4 Zr 2.44

---

5.
Computed, not measured: a crystal of BiMo3Rh relaxed with PBEsol at the meta-GGA SCAN level of DFT.

Properties
- crystal system = cubic
- ΔE_f (eV per formula unit) = 7.5
- space-group type = Pm-3m

a b c (Å): 4.7043 4.7043 4.7043
angles (deg): 90.00 90.00 90.00
With the nearest neighbours (Å) after each atom.
Element x y z (fractional)
Bi (0.0000, 0.0000, 0.0000)  12 Mo 3.33
Mo (0.0000, 0.5000, 0.5000)  2 Rh 2.35
Mo (0.5000, 0.0000, 0.5000)  2 Rh 2.35
Mo (0.5000, 0.5000, 0.0000)  2 Rh 2.35
Rh (0.5000, 0.5000, 0.5000)  6 Mo 2.35

---

6.
Computed, not measured: a crystal of SiOsPt relaxed with PBEsol at the meta-GGA SCAN level of DFT.

Properties
- crystal system = orthorhombic
- relative energy among the computed polymorphs (eV per formula unit) = 1.44
- formation energy without anion corrections (eV per formula unit) = 0.205
- space-group type = Fmm2

a b c (Å): 2.9050 4.7682 12.3504
angles (deg): 90.00 90.00 90.00
With the nearest neighbours (Å) after each atom.
Element x y z (fractional)
Si (0.0000, 0.0000, 0.0000)  2 Os 2.33, 2 Pt 2.39
Si (0.0000, 0.5000, 0.5000)  2 Os 2.33, 2 Pt 2.39
Si (0.5000, 0.0000, 0.5000)  2 Os 2.33, 2 Pt 2.39
Si (0.5000, 0.5000, 0.0000)  2 Os 2.33, 2 Pt 2.39
Os (0.0000, 0.0000, 0.6477)  2 Si 2.33
Os (0.0000, 0.5000, 0.1477)  2 Si 2.33
Os (0.5000, 0.0000, 0.1477)  2 Si 2.33
Os (0.5000, 0.5000, 0.6477)  2 Si 2.33
Pt (0.0000, 0.0000, 0.3467)  2 Si 2.39
Pt (0.0000, 0.5000, 0.8467)  2 Si 2.39
Pt (0.5000, 0.0000, 0.8467)  2 Si 2.39
Pt (0.5000, 0.5000, 0.3467)  2 Si 2.39

---

7.
Computed, not measured: a crystal of Mo2P2PbO12 relaxed with PBEsol at the meta-GGA SCAN level of DFT.

Properties
- crystal system = monoclinic
- formation energy without anion corrections (eV per formula unit) = -37.138
- space-group type = P2_1/c

a b c (Å): 6.3528 12.3681 11.8577
angles (deg): 90.00 91.72 90.00
With the nearest neighbours (Å) after each atom.
Element x y z (fractional)
Mo (0.2470, 0.1299, 0.0963)  2 O 1.71-1.72
Mo (0.2470, 0.3701, 0.5963)  2 O 1.71-1.72
Mo (0.2513, 0.6153, 0.0989)  2 O 1.70-1.71
Mo (0.2513, 0.8847, 0.5989)  2 O 1.70-1.71
Mo (0.7487, 0.1153, 0.4011)  2 O 1.70-1.71
Mo (0.7487, 0.3847, 0.9011)  2 O 1.70-1.71
Mo (0.7530, 0.6299, 0.4037)  2 O 1.71-1.72
Mo (0.7530, 0.8701, 0.9037)  2 O 1.71-1.72
P (0.2445, 0.1240, 0.4594)  4 O 1.52-1.56
P (0.2445, 0.3760, 0.9594)  4 O 1.52-1.56
P (0.2446, 0.5644, 0.3886)  4 O 1.53-1.55
P (0.2446, 0.9356, 0.8886)  4 O 1.53-1.55
P (0.7554, 0.0644, 0.1114)  4 O 1.53-1.55
P (0.7554, 0.4356, 0.6115)  4 O 1.53-1.55
P (0.7555, 0.6240, 0.0406)  4 O 1.52-1.56
P (0.7555, 0.8760, 0.5406)  4 O 1.52-1.56
Pb (0.0059, 0.1222, 0.7319)  6 O 2.54-2.69
Pb (0.0059, 0.3778, 0.2319)  6 O 2.54-2.69
Pb (0.9941, 0.6222, 0.7681)  6 O 2.54-2.69
Pb (0.9941, 0.8778, 0.2681)  6 O 2.54-2.69
O (0.0591, 0.0853, 0.3805)  1 P 1.56
O (0.0591, 0.4147, 0.8805)  1 P 1.56
O (0.0671, 0.6454, 0.4150)  1 P 1.55
O (0.0671, 0.8546, 0.9150)  1 P 1.55
O (0.2046, 0.0469, 0.9398)  1 P 1.53
O (0.2046, 0.4531, 0.4398)  1 P 1.53
O (0.2138, 0.6337, 0.9564)  1 Mo 1.71
O (0.2138, 0.8663, 0.4564)  1 Mo 1.71
O (0.2313, 0.0104, 0.1688)  1 Mo 1.71
O (0.2313, 0.4896, 0.6688)  1 Mo 1.71
O (0.2356, 0.2459, 0.4753)  1 P 1.52
O (0.2356, 0.2541, 0.9753)  1 P 1.52
O (0.2391, 0.0629, 0.5727)  1 P 1.54
O (0.2391, 0.4371, 0.0727)  1 P 1.54
O (0.2395, 0.7426, 0.1530)  1 Mo 1.70
O (0.2395, 0.7574, 0.6530)  1 Mo 1.70
O (0.2507, 0.5428, 0.2599)  1 P 1.55
O (0.2507, 0.9572, 0.7599)  1 P 1.55
O (0.2661, 0.2251, 0.2013)  1 Mo 1.72
O (0.2661, 0.2749, 0.7013)  1 Mo 1.72
O (0.4482, 0.0925, 0.3973)  1 P 1.56
O (0.4482, 0.4075, 0.8973)  1 P 1.56
O (0.4510, 0.6177, 0.4319)  1 P 1.54
O (0.4510, 0.8823, 0.9319)  1 P 1.54
O (0.5490, 0.1177, 0.0681)  1 P 1.54
O (0.5490, 0.3823, 0.5681)  1 P 1.54
O (0.5518, 0.5925, 0.1027)  1 P 1.56
O (0.5518, 0.9075, 0.6027)  1 P 1.56
O (0.7339, 0.7251, 0.2987)  1 Mo 1.72
O (0.7339, 0.7749, 0.7987)  1 Mo 1.72
O (0.7493, 0.0428, 0.2401)  1 P 1.55
O (0.7493, 0.4572, 0.7401)  1 P 1.55
O (0.7605, 0.2426, 0.3471)  1 Mo 1.70
O (0.7605, 0.2574, 0.8470)  1 Mo 1.70
O (0.7609, 0.5629, 0.9273)  1 P 1.54
O (0.7609, 0.9371, 0.4273)  1 P 1.54
O (0.7644, 0.7459, 0.0247)  1 P 1.52
O (0.7644, 0.7541, 0.5247)  1 P 1.52
O (0.7687, 0.5104, 0.3312)  1 Mo 1.71
O (0.7687, 0.9896, 0.8312)  1 Mo 1.71
O (0.7862, 0.1337, 0.5436)  1 Mo 1.71
O (0.7862, 0.3663, 0.0436)  1 Mo 1.71
O (0.7954, 0.5469, 0.5602)  1 P 1.53
O (0.7954, 0.9531, 0.0602)  1 P 1.53
O (0.9329, 0.1454, 0.0850)  1 P 1.55
O (0.9329, 0.3546, 0.5850)  1 P 1.55
O (0.9409, 0.5853, 0.1195)  1 P 1.56
O (0.9409, 0.9147, 0.6195)  1 P 1.56

---

8.
Computed, not measured: a crystal of NaHg3Ru relaxed with PBEsol at the meta-GGA SCAN level of DFT.

Properties
- crystal system = cubic
- ΔE_f (eV per formula unit) = 5.6
- space-group type = Pm-3m

a b c (Å): 5.0128 5.0128 5.0128
angles (deg): 90.00 90.00 90.00
With the nearest neighbours (Å) after each atom.
Element x y z (fractional)
Na (0.0000, 0.0000, 0.0000)  6 Hg 2.51
Hg (0.0000, 0.0000, 0.5000)  2 Na 2.51
Hg (0.0000, 0.5000, 0.0000)  2 Na 2.51
Hg (0.5000, 0.0000, 0.0000)  2 Na 2.51
Ru (0.5000, 0.5000, 0.5000)  12 Hg 3.54

---

| no. | uncorrected energy (eV/atom) | D(E_F) (states/eV/cell) |
| --- | --- | --- |
| 1 | -23.671 | 7.084 |
| 2 | -14.533 | 5.991 |
| 3 | -14.986 | 0.000 |
| 4 | -24.573 | 3.537 |
| 5 | -41.906 | 4.744 |
| 6 | -50.628 | 5.619 |
| 7 | -16.368 | 0.000 |
| 8 | -47.579 | 1.892 |